[1]
VASP calculation (GGA-PBE) on an optimized crystal structure of Na8B13C3. Values from VASP.

Cell and atoms, written as Quantum ESPRESSO input:
```
&SYSTEM
  ibrav = 0, nat = 24, ntyp = 3
/
ATOMIC_SPECIES
Na 22.99 Na.upf
B 10.81 B.upf
C 12.01 C.upf
CELL_PARAMETERS angstrom
0.0000 8.6612 5.0636
2.9512 0.0000 5.0636
2.9512 8.6612 0.0000
ATOMIC_POSITIONS crystal
Na 0.1234 0.8766 0.1234
Na 0.1252 0.3711 0.1215
Na 0.3711 0.1252 0.3823
Na 0.3706 0.6208 0.3792
Na 0.6177 0.8785 0.6289
Na 0.6208 0.3706 0.6294
Na 0.8766 0.1234 0.8766
Na 0.8785 0.6177 0.8748
B 0.0726 0.5953 0.4047
B 0.0834 0.0834 0.4166
B 0.1637 0.1637 0.8363
B 0.3378 0.3378 0.6622
B 0.3391 0.8174 0.6609
B 0.4137 0.4137 0.0863
B 0.4248 0.9024 0.0976
B 0.5834 0.5834 0.9166
B 0.5953 0.0726 0.9274
B 0.8174 0.3391 0.1826
B 0.8305 0.8305 0.1695
B 0.9024 0.4248 0.5752
B 0.9137 0.9137 0.5863
C 0.1665 0.6632 0.8335
C 0.6632 0.1665 0.3368
C 0.6631 0.6631 0.3369
```

The calculation puts the electronic total energy at -4.97 eV per atom. For the formation energy, the calculation gives 0.238 eV/atom. Its space group is Fmm2.

[2]
VASP calculation (GGA-PBE) on an optimized crystal structure of Ba2ReSb. Values from VASP.

Cell and atoms, written as Quantum ESPRESSO input:
```
&SYSTEM
  ibrav = 0, nat = 4, ntyp = 3
/
ATOMIC_SPECIES
Ba 137.33 Ba.upf
Re 186.21 Re.upf
Sb 121.76 Sb.upf
CELL_PARAMETERS angstrom
-2.6045 2.6106 4.7641
2.6045 -2.6106 4.7641
2.6045 2.6106 -4.7641
ATOMIC_POSITIONS crystal
Ba 0.2505 0.2505 0.0000
Ba 0.7495 0.7495 0.0000
Re 0.5000 0.0000 0.5000
Sb 0.0000 0.5000 0.5000
```

The calculation puts the electronic total energy at -4.49 eV per atom. The value obtained for the uncorrected formation energy is 0.609 eV/atom. Its space group is Immm.

[3]
VASP calculation (GGA-PBE) on an optimized crystal structure of Sc8Tc2Ru. Values from VASP.

Cell and atoms, written as Quantum ESPRESSO input:
```
&SYSTEM
  ibrav = 0, nat = 11, ntyp = 3
/
ATOMIC_SPECIES
Sc 44.96 Sc.upf
Tc 98.00 Tc.upf
Ru 101.07 Ru.upf
CELL_PARAMETERS angstrom
7.9989 -2.3015 0.0000
7.9989 2.3015 0.0000
-2.1810 0.0000 6.0762
ATOMIC_POSITIONS crystal
Sc 0.0240 0.0240 0.2872
Sc 0.1979 0.1979 0.7953
Sc 0.3356 0.3356 0.5481
Sc 0.3998 0.3998 0.0557
Sc 0.6002 0.6002 0.9443
Sc 0.6644 0.6644 0.4519
Sc 0.8021 0.8021 0.2047
Sc 0.9760 0.9760 0.7128
Tc 0.1779 0.1779 0.1864
Tc 0.8221 0.8221 0.8136
Ru 0.5000 0.5000 0.5000
```

The calculation puts the electronic total energy at -7.58 eV per atom. For the formation energy, the calculation gives -0.249 eV/atom. Its space group is C2/m.

[4]
VASP calculation (GGA-PBE) on an optimized crystal structure of MgMo4Pb. Values from VASP.

Cell and atoms, written as Quantum ESPRESSO input:
```
&SYSTEM
  ibrav = 0, nat = 6, ntyp = 3
/
ATOMIC_SPECIES
Mg 24.30 Mg.upf
Mo 95.94 Mo.upf
Pb 207.20 Pb.upf
CELL_PARAMETERS angstrom
0.0000 3.8096 3.8096
3.8096 0.0000 3.8096
3.8096 3.8096 0.0000
ATOMIC_POSITIONS crystal
Mg 0.0000 0.0000 0.0000
Mo 0.1228 0.6257 0.6257
Mo 0.6257 0.1228 0.6257
Mo 0.6257 0.6257 0.1228
Mo 0.6257 0.6257 0.6257
Pb 0.2500 0.2500 0.2500
```

The calculation puts the electronic total energy at -7.61 eV per atom. For the formation energy, the calculation gives 0.496 eV/atom. Its space group is F-43m.

[5]
VASP calculation (GGA-PBE) on an optimized crystal structure of Sc2CuPd. Values from VASP.

Cell and atoms, written as Quantum ESPRESSO input:
```
&SYSTEM
  ibrav = 0, nat = 4, ntyp = 3
/
ATOMIC_SPECIES
Sc 44.96 Sc.upf
Cu 63.55 Cu.upf
Pd 106.42 Pd.upf
CELL_PARAMETERS angstrom
3.2621 0.0000 0.0000
0.0000 3.2621 0.0000
0.0000 0.0000 6.6769
ATOMIC_POSITIONS crystal
Sc 0.0000 0.0000 0.2451
Sc 0.0000 0.0000 0.7549
Cu 0.5000 0.5000 0.0000
Pd 0.5000 0.5000 0.5000
```

The calculation puts the electronic total energy at -6.09 eV per atom. For the formation energy, the calculation gives -0.598 eV/atom. Its space group is P4/mmm.

[6]
VASP calculation (GGA-PBE) on an optimized crystal structure of CeMoH5. Values from VASP.

Cell and atoms, written as Quantum ESPRESSO input:
```
&SYSTEM
  ibrav = 0, nat = 7, ntyp = 3
/
ATOMIC_SPECIES
Ce 140.12 Ce.upf
Mo 95.94 Mo.upf
H 1.01 H.upf
CELL_PARAMETERS angstrom
3.8014 -2.5495 0.0000
3.8014 2.5495 0.0000
-1.8340 0.0000 3.2942
ATOMIC_POSITIONS crystal
Ce 0.0000 0.0000 0.0000
Mo 0.5000 0.5000 0.5000
H 0.0485 0.6139 0.3311
H 0.3861 0.9515 0.6689
H 0.5000 0.5000 0.0000
H 0.6139 0.0485 0.3311
H 0.9515 0.3861 0.6689
```

The calculation puts the electronic total energy at -4.91 eV per atom. Its space group is C2/m.

[7]
VASP calculation (GGA-PBE) on an optimized crystal structure of Dy3Ni2Ge4. Values from VASP.

Cell and atoms, written as Quantum ESPRESSO input:
```
&SYSTEM
  ibrav = 0, nat = 9, ntyp = 3
/
ATOMIC_SPECIES
Dy 162.50 Dy.upf
Ni 58.69 Ni.upf
Ge 72.64 Ge.upf
CELL_PARAMETERS angstrom
5.3475 -2.0744 0.0000
5.3475 2.0744 0.0000
-1.7105 0.0000 7.9333
ATOMIC_POSITIONS crystal
Dy 0.0000 0.0000 0.0000
Dy 0.3385 0.3385 0.3397
Dy 0.6615 0.6615 0.6603
Ni 0.3940 0.3940 0.7179
Ni 0.6060 0.6060 0.2821
Ge 0.0608 0.0608 0.3809
Ge 0.2811 0.2811 0.9286
Ge 0.7189 0.7189 0.0714
Ge 0.9392 0.9392 0.6191
```

The calculation puts the electronic total energy at -5.64 eV per atom. For the formation energy, the calculation gives -0.771 eV/atom. Its space group is C2/m.

[8]
VASP calculation (GGA-PBE) on an optimized crystal structure of Th2F13. Values from VASP.

Cell and atoms, written as Quantum ESPRESSO input:
```
&SYSTEM
  ibrav = 0, nat = 15, ntyp = 2
/
ATOMIC_SPECIES
Th 232.04 Th.upf
F 19.00 F.upf
CELL_PARAMETERS angstrom
5.7351 0.0000 0.0000
1.3967 5.8114 0.0000
2.4169 2.2631 6.6690
ATOMIC_POSITIONS crystal
Th 0.1631 0.1645 0.1103
Th 0.8369 0.8355 0.8897
F 0.0000 0.0000 0.5000
F 0.0995 0.1255 0.8284
F 0.1486 0.3436 0.3273
F 0.2046 0.5831 0.9175
F 0.3677 0.5262 0.5270
F 0.4233 0.0233 0.5919
F 0.4365 0.8026 0.1130
F 0.5635 0.1974 0.8870
F 0.5767 0.9767 0.4081
F 0.6323 0.4738 0.4730
F 0.7954 0.4169 0.0825
F 0.8514 0.6564 0.6727
F 0.9005 0.8745 0.1716
```

The calculation puts the electronic total energy at -5.24 eV per atom. The value obtained for the uncorrected formation energy is -2.630 eV/atom. Its space group is P-1.

[9]
VASP calculation (GGA-PBE) on an optimized crystal structure of Pm3Pr. Values from VASP.

Cell and atoms, written as Quantum ESPRESSO input:
```
&SYSTEM
  ibrav = 0, nat = 4, ntyp = 2
/
ATOMIC_SPECIES
Pm 145.00 Pm.upf
Pr 140.91 Pr.upf
CELL_PARAMETERS angstrom
-2.5857 2.5857 5.2175
2.5857 -2.5857 5.2175
2.5857 2.5857 -5.2175
ATOMIC_POSITIONS crystal
Pm 0.0000 0.0000 0.0000
Pm 0.2500 0.7500 0.5000
Pm 0.7500 0.2500 0.5000
Pr 0.5000 0.5000 0.0000
```

The calculation puts the electronic total energy at -4.75 eV per atom. For the formation energy, the calculation gives 0.013 eV/atom. Its space group is I4/mmm.

[10]
VASP calculation (GGA-PBE) on an optimized crystal structure of TbPuGePd. Values from VASP.

Cell and atoms, written as Quantum ESPRESSO input:
```
&SYSTEM
  ibrav = 0, nat = 4, ntyp = 4
/
ATOMIC_SPECIES
Tb 158.93 Tb.upf
Pu 244.00 Pu.upf
Ge 72.64 Ge.upf
Pd 106.42 Pd.upf
CELL_PARAMETERS angstrom
0.0000 3.5650 3.5650
3.5650 0.0000 3.5650
3.5650 3.5650 0.0000
ATOMIC_POSITIONS crystal
Tb 0.0000 0.0000 0.0000
Pu 0.5000 0.5000 0.5000
Ge 0.7500 0.7500 0.7500
Pd 0.2500 0.2500 0.2500
```

The calculation puts the electronic total energy at -7.75 eV per atom. For the formation energy, the calculation gives -0.561 eV/atom. Its space group is F-43m.

[11]
VASP calculation (GGA-PBE) on an optimized crystal structure of Ba3CaIr2O9. Values from VASP.

Cell and atoms, written as Quantum ESPRESSO input:
```
&SYSTEM
  ibrav = 0, nat = 15, ntyp = 4
/
ATOMIC_SPECIES
Ba 137.33 Ba.upf
Ca 40.08 Ca.upf
Ir 192.22 Ir.upf
O 16.00 O.upf
CELL_PARAMETERS angstrom
5.8957 0.0000 0.0000
-2.9478 5.1058 0.0000
0.0000 0.0000 7.2503
ATOMIC_POSITIONS crystal
Ba 0.0000 0.0000 0.0000
Ba 0.3333 0.6667 0.6658
Ba 0.6667 0.3333 0.3342
Ca 0.0000 0.0000 0.5000
Ir 0.3333 0.6667 0.1585
Ir 0.6667 0.3333 0.8415
O 0.0000 0.5000 0.0000
O 0.1784 0.3568 0.3142
O 0.1784 0.8216 0.3142
O 0.3568 0.1784 0.6858
O 0.5000 0.0000 0.0000
O 0.5000 0.5000 0.0000
O 0.6432 0.8216 0.3142
O 0.8216 0.1784 0.6858
O 0.8216 0.6432 0.6858
```

The calculation puts the electronic total energy at -6.61 eV per atom. The value obtained for the uncorrected formation energy is -1.934 eV/atom. Its space group is P-3m1.

[12]
VASP calculation (GGA-PBE) on an optimized crystal structure of Ti5Ga6Au. Values from VASP.

Cell and atoms, written as Quantum ESPRESSO input:
```
&SYSTEM
  ibrav = 0, nat = 12, ntyp = 3
/
ATOMIC_SPECIES
Ti 47.87 Ti.upf
Ga 69.72 Ga.upf
Au 196.97 Au.upf
CELL_PARAMETERS angstrom
2.5532 -4.3682 0.0000
2.5532 4.3682 0.0000
-1.5477 0.0000 8.9661
ATOMIC_POSITIONS crystal
Ti 0.0000 0.0000 0.0000
Ti 0.1675 0.8325 0.5000
Ti 0.3400 0.6600 0.0000
Ti 0.6600 0.3400 0.0000
Ti 0.8325 0.1675 0.5000
Ga 0.0733 0.4149 0.2494
Ga 0.2431 0.2431 0.7467
Ga 0.4149 0.0733 0.2494
Ga 0.5851 0.9267 0.7506
Ga 0.7569 0.7569 0.2533
Ga 0.9267 0.5851 0.7506
Au 0.5000 0.5000 0.5000
```

The calculation puts the electronic total energy at -5.34 eV per atom. For the formation energy, the calculation gives -0.260 eV/atom. Its space group is C2/m.

[13]
VASP calculation (GGA-PBE) on an optimized crystal structure of Na2HfUN4. Values from VASP.

Cell and atoms, written as Quantum ESPRESSO input:
```
&SYSTEM
  ibrav = 0, nat = 8, ntyp = 4
/
ATOMIC_SPECIES
Na 22.99 Na.upf
Hf 178.49 Hf.upf
U 238.03 U.upf
N 14.01 N.upf
CELL_PARAMETERS angstrom
5.7407 0.0000 0.0000
0.0000 3.4255 0.0000
-1.8509 0.0000 5.6881
ATOMIC_POSITIONS crystal
Na 0.0000 0.0000 0.0000
Na 0.5000 0.5000 0.0000
Hf 0.0000 0.5000 0.5000
U 0.5000 0.0000 0.5000
N 0.2345 0.0000 0.6858
N 0.2756 0.5000 0.3131
N 0.7244 0.5000 0.6869
N 0.7655 0.0000 0.3142
```

The calculation puts the electronic total energy at -8.28 eV per atom. The value obtained for the uncorrected formation energy is -1.135 eV/atom. Its space group is P2/m.

[14]
VASP calculation (GGA-PBE) on an optimized crystal structure of LaSiAu. Values from VASP.

Cell and atoms, written as Quantum ESPRESSO input:
```
&SYSTEM
  ibrav = 0, nat = 6, ntyp = 3
/
ATOMIC_SPECIES
La 138.91 La.upf
Si 28.09 Si.upf
Au 196.97 Au.upf
CELL_PARAMETERS angstrom
4.4205 0.0000 0.0000
-0.1087 5.4737 0.0000
-0.1301 -1.1181 6.2798
ATOMIC_POSITIONS crystal
La 0.0000 0.0000 0.0000
La 0.4847 0.6596 0.5221
Si 0.0121 0.1166 0.5307
Si 0.9967 0.4672 0.8032
Au 0.5035 0.4768 0.9979
Au 0.5124 0.1341 0.3222
```

The calculation puts the electronic total energy at -5.15 eV per atom. The value obtained for the uncorrected formation energy is -0.606 eV/atom. Its space group is P1.

[15]
VASP calculation (GGA-PBE) on an optimized crystal structure of GdAs3. Values from VASP.

Cell and atoms, written as Quantum ESPRESSO input:
```
&SYSTEM
  ibrav = 0, nat = 4, ntyp = 2
/
ATOMIC_SPECIES
Gd 157.25 Gd.upf
As 74.92 As.upf
CELL_PARAMETERS angstrom
3.9756 0.0000 0.0000
0.0000 5.7717 0.0000
0.0000 0.0000 4.2565
ATOMIC_POSITIONS crystal
Gd 0.0000 0.0000 0.0000
As 0.0000 0.5000 0.9179
As 0.5000 0.0000 0.4822
As 0.5000 0.5000 0.3067
```

The calculation puts the electronic total energy at -7.64 eV per atom. For the formation energy, the calculation gives -0.629 eV/atom. Its space group is Pmm2.

[16]
VASP calculation (GGA-PBE) on an optimized crystal structure of Pr2Ho7Tm3. Values from VASP.

Cell and atoms, written as Quantum ESPRESSO input:
```
&SYSTEM
  ibrav = 0, nat = 12, ntyp = 3
/
ATOMIC_SPECIES
Pr 140.91 Pr.upf
Ho 164.93 Ho.upf
Tm 168.93 Tm.upf
CELL_PARAMETERS angstrom
2.8309 -18.8120 0.0000
2.8309 18.8120 0.0000
0.0000 0.0000 3.5978
ATOMIC_POSITIONS crystal
Pr 0.1472 0.8528 0.0000
Pr 0.8528 0.1472 0.0000
Ho 0.0000 0.0000 0.0000
Ho 0.0702 0.9298 0.5000
Ho 0.2307 0.7693 0.0000
Ho 0.4114 0.5886 0.0000
Ho 0.5886 0.4114 0.0000
Ho 0.7693 0.2307 0.0000
Ho 0.9298 0.0702 0.5000
Tm 0.3134 0.6866 0.5000
Tm 0.5000 0.5000 0.5000
Tm 0.6866 0.3134 0.5000
```

The calculation puts the electronic total energy at -4.46 eV per atom. For the formation energy, the calculation gives 0.120 eV/atom. Its space group is Cmmm.

[17]
VASP calculation (GGA-PBE) on an optimized crystal structure of Co2Si2As. Values from VASP.

Cell and atoms, written as Quantum ESPRESSO input:
```
&SYSTEM
  ibrav = 0, nat = 10, ntyp = 3
/
ATOMIC_SPECIES
Co 58.93 Co.upf
Si 28.09 Si.upf
As 74.92 As.upf
CELL_PARAMETERS angstrom
6.9238 0.0000 0.0000
0.0000 6.9238 0.0000
0.0000 0.0000 2.5994
ATOMIC_POSITIONS crystal
Co 0.1450 0.3550 0.0000
Co 0.3550 0.8550 0.0000
Co 0.6450 0.1450 0.0000
Co 0.8550 0.6450 0.0000
Si 0.1458 0.6458 0.5000
Si 0.3542 0.1458 0.5000
Si 0.6458 0.8542 0.5000
Si 0.8542 0.3542 0.5000
As 0.0000 0.0000 0.0000
As 0.5000 0.5000 0.0000
```

The calculation puts the electronic total energy at -6.15 eV per atom. The value obtained for the uncorrected formation energy is -0.212 eV/atom. Its space group is P4/mbm.

[18]
VASP calculation (GGA-PBE) on an optimized crystal structure of Pb3F5. Values from VASP.

Cell and atoms, written as Quantum ESPRESSO input:
```
&SYSTEM
  ibrav = 0, nat = 16, ntyp = 2
/
ATOMIC_SPECIES
Pb 207.20 Pb.upf
F 19.00 F.upf
CELL_PARAMETERS angstrom
7.3277 0.0000 0.0000
-3.6639 6.3460 0.0000
0.0000 0.0000 6.2994
ATOMIC_POSITIONS crystal
Pb 0.0000 0.3775 0.2500
Pb 0.0000 0.6225 0.7500
Pb 0.3775 0.0000 0.2500
Pb 0.3775 0.3775 0.7500
Pb 0.6225 0.0000 0.7500
Pb 0.6225 0.6225 0.2500
F 0.0000 0.2581 0.7500
F 0.0000 0.7419 0.2500
F 0.2581 0.0000 0.7500
F 0.2581 0.2581 0.2500
F 0.3333 0.6667 0.0000
F 0.3333 0.6667 0.5000
F 0.6667 0.3333 0.0000
F 0.6667 0.3333 0.5000
F 0.7419 0.0000 0.2500
F 0.7419 0.7419 0.7500
```

The calculation puts the electronic total energy at -4.59 eV per atom. The value obtained for the uncorrected formation energy is -2.029 eV/atom. Its space group is P6_3/mcm.